## TlCoRe4 (PBE)

Data for a relaxed structure of TlCoRe4.

Its magnetization is 0.339 μB/atom. For the energy of formation, the calculation gives 0.876 eV/atom. The value obtained for the total energy is -54.01 eV/cell.

Structure (POSCAR):
```
TlCoRe4
1.0
0.0000 3.6997 3.6997
3.6997 0.0000 3.6997
3.6997 3.6997 0.0000
Tl Co Re
1 1 4
Cartesian
0.0000 0.0000 0.0000
5.5495 5.5495 5.5495
2.7777 2.7777 2.7777
4.6216 4.6216 2.7777
4.6216 2.7777 4.6216
2.7777 4.6216 4.6216
```